This record from Alexandria via LeMat-Bulk describes crystalline LiHgSbN2 at its relaxed geometry. The functional is GGA-PBE.

Calculated values
The volume is 22.0 A^3/atom. Its formation energy (no corrections) is 1.712 eV/atom. For the density of states at the Fermi level, the calculation gives 0.717 states/eV/atom.

Cell lengths 4.311, 5.925, 4.311 Å; angles 90.00, 90.00, 90.00 degrees
Each line ends with the local moment (μB).
Atoms (fractional coordinates):
Sb 0.000 0.500 0.000  0.01
Li 0.500 0.500 0.500  0.00
Hg 0.000 0.000 0.000  0.01
N 0.000 0.000 0.500  0.83
N 0.500 0.000 0.000  1.07



This record from Alexandria via LeMat-Bulk describes crystalline Sm8Ni2Rh at its relaxed geometry. The functional is GGA-PBE.

Calculated values
The volume is 27.9 A^3/atom. The value obtained for the formation energy from the elements is -0.167 eV/atom. For the density of states at the Fermi level, the calculation gives 1.125 states/eV/atom.

Cell lengths 6.218, 7.543, 7.543 Å; angles 113.54, 100.36, 100.36 degrees
Atoms (fractional coordinates):
Sm 0.587 0.348 0.084
Sm 0.587 0.084 0.348
Sm 0.173 0.364 0.364
Sm 0.985 0.209 0.793
Sm 0.985 0.793 0.209
Sm 0.806 0.642 0.642
Sm 0.370 0.920 0.657
Sm 0.370 0.657 0.920
Ni 0.489 0.695 0.314
Ni 0.489 0.314 0.695
Rh 0.158 0.008 0.008



This record from Alexandria via LeMat-Bulk describes crystalline Cu3Te4 at its relaxed geometry. The functional is GGA-PBE.

Calculated values
The volume is 23.6 A^3/atom. Its formation energy (no corrections) is 0.139 eV/atom. For the density of states at the Fermi level, the calculation gives 0.407 states/eV/atom.

Cell lengths 13.112, 13.112, 13.112 Å; angles 164.28, 164.28, 22.30 degrees
Atoms (fractional coordinates):
Cu 0.000 0.000 0.000
Cu 0.721 0.721 0.000
Cu 0.279 0.279 0.000
Te 0.822 0.822 0.000
Te 0.178 0.178 0.000
Te 0.555 0.555 0.000
Te 0.445 0.445 0.000



This record from Alexandria via LeMat-Bulk describes crystalline LiBeFe at its relaxed geometry. The functional is GGA-PBE.

Calculated values
The volume is 11.2 A^3/atom. The relative energy among the computed polymorphs comes out at 0.027 eV per atom. The value obtained for the formation energy from the elements is 0.135 eV/atom. For the density of states at the Fermi level, the calculation gives 0.406 states/eV/atom.

Cell lengths 5.661, 5.661, 2.502 Å; angles 77.22, 77.24, 25.53 degrees
Each line ends with the local moment (μB).
Atoms (fractional coordinates):
Be 0.987 0.987 0.013  -0.05
Fe 0.352 0.352 0.648  2.34
Li 0.662 0.662 0.338  -0.03